LaTb2Pd PBE optimized geometry; energy above the most stable polymorph in this dataset = 0.141 eV/atom
1.0
-2.599 -1.257 2.670
1.007 -2.821 2.549
2.479 5.119 7.719
La Tb Pd
1 2 1
Direct
0.502 0.502 0.494 La
0.060 0.060 0.820 Tb
0.272 0.272 0.183 Tb
0.666 0.666 0.003 Pd

DFT (PBE) results for LaTb5Pd2 after structural relaxation.

POSCAR file:
```
LaTb5Pd2
1.0
-1.061 2.307 2.891
-3.047 -5.987 1.099
14.522 -5.593 9.793
La Tb Pd
2 10 4
Direct
0.656 0.313 0.750 La
0.344 0.687 0.250 La
0.945 0.891 0.902 Tb
0.945 0.891 0.598 Tb
0.341 0.683 0.454 Tb
0.341 0.683 0.046 Tb
0.606 0.211 0.250 Tb
0.394 0.789 0.750 Tb
0.659 0.317 0.546 Tb
0.659 0.317 0.954 Tb
0.055 0.109 0.098 Tb
0.055 0.109 0.402 Tb
0.735 0.469 0.372 Pd
0.735 0.469 0.128 Pd
0.265 0.531 0.628 Pd
0.265 0.531 0.872 Pd
```

LaTbPd PBE optimized geometry; energy above the most stable polymorph in this dataset = 0.000 eV/atom
1.0
3.625 0.000 0.000
0.000 3.625 0.000
-1.813 -1.813 6.360
Tb Pd La
1 1 1
Direct
0.297 0.297 0.594 Tb
0.678 0.678 0.357 Pd
0.025 0.025 0.050 La

DFT (PBE) results for La3TbPd2 after structural relaxation.

POSCAR file:
```
La3TbPd2
1.0
-2.482 2.373 7.500
2.482 -2.373 7.500
2.482 2.373 -7.500
La Tb Pd
3 1 2
Direct
0.500 0.500 0.000 La
0.309 0.809 0.500 La
0.691 0.191 0.500 La
0.000 0.000 0.000 Tb
0.877 0.377 0.500 Pd
0.123 0.623 0.500 Pd
```

LaTbPd PBE optimized geometry; energy above the most stable polymorph in this dataset = 0.094 eV/atom
1.0
-3.440 0.538 3.624
-1.146 -3.886 2.974
1.413 0.024 4.823
Tb Pd La
1 1 1
Direct
0.500 0.500 0.500 Tb
0.250 0.250 0.250 Pd
0.000 0.000 0.000 La

LaTbPd PBE optimized geometry; energy above the most stable polymorph in this dataset = 0.108 eV/atom
1.0
4.136 0.000 0.000
0.000 4.810 0.000
0.000 -2.405 4.166
Tb Pd La
1 1 1
Direct
0.565 0.667 0.333 Tb
0.401 0.333 0.667 Pd
0.034 0.000 0.000 La

DFT (PBE) results for LaTb6Pd3 after structural relaxation.

POSCAR file:
```
LaTb6Pd3
1.0
7.266 0.000 0.000
0.000 8.714 -1.115
0.000 -0.040 8.785
La Tb Pd
2 12 6
Direct
0.039 0.317 0.683 La
0.539 0.683 0.317 La
0.167 0.715 0.631 Tb
0.667 0.631 0.715 Tb
0.321 0.584 0.966 Tb
0.821 0.966 0.584 Tb
0.166 0.030 0.970 Tb
0.518 0.234 0.766 Tb
0.018 0.766 0.234 Tb
0.666 0.970 0.030 Tb
0.321 0.034 0.416 Tb
0.821 0.416 0.034 Tb
0.167 0.369 0.285 Tb
0.667 0.285 0.369 Tb
0.455 0.916 0.713 Pd
0.955 0.713 0.916 Pd
0.376 0.431 0.569 Pd
0.876 0.569 0.431 Pd
0.955 0.084 0.287 Pd
0.455 0.287 0.084 Pd
```

DFT (PBE) results for LaTbPd3 after structural relaxation.

POSCAR file:
```
LaTbPd3
1.0
-0.208 -3.969 1.787
2.295 -1.377 -2.792
9.800 3.535 8.990
La Tb Pd
2 2 6
Direct
0.250 0.073 0.147 La
0.750 0.927 0.853 La
0.250 0.794 0.588 Tb
0.750 0.206 0.412 Tb
0.250 0.374 0.748 Pd
0.750 0.626 0.252 Pd
0.250 0.471 0.943 Pd
0.750 0.529 0.057 Pd
0.750 0.312 0.625 Pd
0.250 0.688 0.375 Pd
```

LaTb2Pd PBE optimized geometry; energy above the most stable polymorph in this dataset = 0.042 eV/atom
1.0
3.588 0.000 0.000
0.000 3.588 0.000
0.000 0.000 8.829
Tb Pd La
2 1 1
Direct
0.000 0.000 0.811 Tb
0.000 0.000 0.189 Tb
0.500 0.500 0.000 Pd
0.500 0.500 0.500 La

LaTbPd PBE optimized geometry; energy above the most stable polymorph in this dataset = 0.000 eV/atom
1.0
3.644 0.008 -0.001
-0.012 7.303 0.003
-1.822 -1.937 6.237
La Tb Pd
2 2 2
Direct
0.301 0.481 0.366 La
0.577 0.623 0.923 La
0.575 0.116 0.916 Tb
0.303 0.988 0.372 Tb
0.946 0.280 0.660 Pd
0.931 0.824 0.629 Pd

DFT (PBE) results for LaTb3Pd2 after structural relaxation.

POSCAR file:
```
LaTb3Pd2
1.0
6.842 0.000 0.000
-3.421 6.107 -1.962
0.000 -0.010 7.894
La Tb Pd
2 6 4
Direct
0.237 0.000 0.250 La
0.763 0.000 0.750 La
0.256 0.000 0.750 Tb
0.744 0.000 0.250 Tb
0.782 0.571 0.893 Tb
0.211 0.429 0.607 Tb
0.789 0.571 0.393 Tb
0.218 0.429 0.107 Tb
0.378 0.754 0.439 Pd
0.375 0.754 0.939 Pd
0.625 0.246 0.061 Pd
0.622 0.246 0.561 Pd
```

LaTbPd PBE optimized geometry; energy above the most stable polymorph in this dataset = 0.045 eV/atom
1.0
-1.832 -5.852 0.977
5.936 -2.410 -3.300
3.656 0.079 7.328
La Tb Pd
4 4 4
Direct
0.360 0.186 0.886 La
0.640 0.814 0.114 La
0.860 0.314 0.614 La
0.140 0.686 0.386 La
0.868 0.307 0.132 Tb
0.632 0.807 0.632 Tb
0.132 0.693 0.868 Tb
0.368 0.193 0.368 Tb
0.367 0.462 0.641 Pd
0.633 0.538 0.359 Pd
0.133 0.962 0.141 Pd
0.867 0.038 0.859 Pd

DFT (PBE) results for LaTbPd6 after structural relaxation.

POSCAR file:
```
LaTbPd6
1.0
-3.798 1.776 -0.056
-1.765 -3.755 0.606
0.410 1.137 8.237
La Tb Pd
1 1 6
Direct
0.000 0.000 0.000 La
0.000 0.000 0.500 Tb
0.500 0.500 0.000 Pd
0.500 0.500 0.500 Pd
0.500 0.000 0.257 Pd
0.500 0.000 0.743 Pd
0.000 0.500 0.257 Pd
0.000 0.500 0.743 Pd
```

LaTbZnPd PBE optimized geometry; energy above the most stable polymorph in this dataset = 0.022 eV/atom
1.0
5.151 0.000 0.000
2.576 4.461 0.000
2.576 1.487 4.206
Zn Tb Pd La
1 1 1 1
Direct
0.500 0.500 0.500 Zn
0.750 0.750 0.750 Tb
0.000 0.000 0.000 Pd
0.250 0.250 0.250 La

LaTbZnPd PBE optimized geometry; energy above the most stable polymorph in this dataset = 0.000 eV/atom
1.0
-2.233 0.375 3.245
-3.774 -0.899 -2.493
1.712 -5.534 -0.595
La Tb Zn Pd
1 1 1 1
Direct
0.857 0.500 0.713 La
0.139 0.000 0.278 Tb
0.429 0.000 0.858 Zn
0.575 0.500 0.150 Pd

DFT (PBE) results for La2TcPd after structural relaxation.

POSCAR file:
```
La2TcPd
1.0
3.648 0.000 0.000
0.000 3.648 0.000
0.000 0.000 7.147
Tc Pd La
1 1 2
Direct
0.500 0.500 0.000 Tc
0.500 0.500 0.500 Pd
0.000 0.000 0.759 La
0.000 0.000 0.241 La
```

La2Tc2Pd PBE optimized geometry; energy above the most stable polymorph in this dataset = 0.505 eV/atom
1.0
-4.348 -2.598 7.045
4.101 -7.641 -0.287
2.322 1.176 1.867
Tc Pd La
4 2 4
Direct
0.090 0.590 0.500 Tc
0.590 0.910 0.500 Tc
0.910 0.410 0.500 Tc
0.410 0.090 0.500 Tc
0.000 0.000 0.000 Pd
0.500 0.500 0.000 Pd
0.303 0.803 0.000 La
0.803 0.697 0.000 La
0.697 0.197 0.000 La
0.197 0.303 0.000 La

DFT (PBE) results for La2TcPd2 after structural relaxation.

POSCAR file:
```
La2TcPd2
1.0
7.421 0.000 0.000
0.000 7.421 0.000
0.000 0.000 4.204
Tc Pd La
2 4 4
Direct
0.000 0.000 0.000 Tc
0.500 0.500 0.000 Tc
0.369 0.869 0.000 Pd
0.869 0.631 0.000 Pd
0.631 0.131 0.000 Pd
0.131 0.369 0.000 Pd
0.181 0.681 0.500 La
0.681 0.819 0.500 La
0.819 0.319 0.500 La
0.319 0.181 0.500 La
```

La2Tc2Pd PBE optimized geometry; energy above the most stable polymorph in this dataset = 0.063 eV/atom
1.0
-6.407 -3.026 -0.402
0.934 -1.053 -6.956
1.826 -3.980 0.848
Tc Pd La
4 2 4
Direct
0.386 0.886 0.000 Tc
0.886 0.614 0.000 Tc
0.614 0.114 0.000 Tc
0.114 0.386 0.000 Tc
0.000 0.000 0.000 Pd
0.500 0.500 0.000 Pd
0.189 0.689 0.500 La
0.689 0.811 0.500 La
0.811 0.311 0.500 La
0.311 0.189 0.500 La

DFT (PBE) results for La4TcPd after structural relaxation.

POSCAR file:
```
La4TcPd
1.0
0.781 4.138 -5.022
0.723 -6.999 -3.845
-7.438 1.348 3.326
La Tc Pd
8 2 2
Direct
0.015 0.228 0.861 La
0.797 0.707 0.655 La
0.346 0.633 0.861 La
0.358 0.948 0.655 La
0.642 0.052 0.345 La
0.654 0.367 0.139 La
0.203 0.293 0.345 La
0.985 0.772 0.139 La
0.252 0.002 0.004 Tc
0.748 0.998 0.996 Tc
0.382 0.632 0.264 Pd
0.618 0.368 0.736 Pd
```

| no. | total energy (eV per atom) | energy of formation from the pure elements (eV per atom) |
| --- | --- | --- |
| 1 | -5.1526 | -0.307 |
| 2 | -5.1751 | -0.367 |
| 3 | -5.4191 | -0.502 |
| 4 | -5.4444 | -0.478 |
| 5 | -5.3254 | -0.409 |
| 6 | -5.3118 | -0.395 |
| 7 | -5.3208 | -0.492 |
| 8 | -5.8580 | -0.831 |
| 9 | -5.2520 | -0.407 |
| 10 | -5.4195 | -0.503 |
| 11 | -5.3896 | -0.522 |
| 12 | -5.3749 | -0.458 |
| 13 | -5.9175 | -0.828 |
| 14 | -4.5376 | -0.531 |
| 15 | -4.5599 | -0.554 |
| 16 | -6.5900 | -0.237 |
| 17 | -6.7427 | 0.413 |
| 18 | -6.3714 | -0.250 |
| 19 | -7.1846 | -0.029 |
| 20 | -6.1827 | -0.305 |